## a
Compound: Pm5Ge6
Source: Alexandria via LeMat-Bulk
Functional: PBE-GGA
Structure: optimized geometry

```
Pm5Ge6
1.0
5.990 0.000 0.603
2.995 6.721 0.301
2.598 0.000 6.985
Pm Ge
5 6
direct
0.647 0.707 0.000 Pm
0.500 0.000 0.500 Pm
0.212 0.576 0.500 Pm
0.353 0.293 0.000 Pm
0.788 0.424 0.500 Pm
0.122 0.000 0.302 Ge
0.729 0.279 0.186 Ge
0.992 0.279 0.814 Ge
0.271 0.721 0.814 Ge
0.008 0.721 0.186 Ge
0.878 0.000 0.698 Ge
```

=====

## b
Compound: Pm5Ge6
Source: Alexandria via LeMat-Bulk
Functional: PBE-GGA
Structure: optimized geometry

```
Pm5Ge6
1.0
4.416 0.000 0.000
0.000 4.022 -0.587
0.000 0.130 14.951
Pm Ge
5 6
direct
0.000 0.614 0.227 Pm
0.000 0.386 0.773 Pm
0.000 0.000 0.000 Pm
0.500 0.199 0.397 Pm
0.500 0.801 0.603 Pm
0.500 0.542 0.084 Ge
0.500 0.902 0.804 Ge
0.500 0.458 0.916 Ge
0.500 0.098 0.196 Ge
0.000 0.280 0.561 Ge
0.000 0.720 0.439 Ge
```

=====

Going by the energies, b is most stable and the next is 15.2 kJ/mol of atoms up.

=====

## a
Compound: PmPr2Ge
Source: Alexandria via LeMat-Bulk
Functional: PBE-GGA
Structure: optimized geometry

```
PmPr2Ge
1.0
4.112 0.000 0.000
2.056 3.561 0.000
2.056 1.187 9.335
Ge Pr Pm
1 2 1
direct
0.666 0.666 0.002 Ge
0.270 0.270 0.189 Pr
0.063 0.063 0.812 Pr
0.501 0.501 0.497 Pm
```

=====

## b
Compound: PmPr2Ge
Source: Alexandria via LeMat-Bulk
Functional: PBE-GGA
Structure: optimized geometry

```
PmPr2Ge
1.0
-2.917 1.263 3.666
-3.635 -2.404 -2.064
1.280 -3.987 2.391
Pr Pm Ge
2 1 1
direct
0.000 0.500 0.000 Pr
0.000 0.000 0.500 Pr
0.500 0.500 0.500 Pm
0.500 0.000 0.000 Ge
```

=====

## c
Compound: PmPr2Ge
Source: Alexandria via LeMat-Bulk
Functional: PBE-GGA
Structure: optimized geometry

```
PmPr2Ge
1.0
-3.274 1.256 1.706
-1.172 -1.576 3.369
3.830 6.827 6.782
Pm Pr Ge
1 2 1
direct
0.000 0.000 0.000 Pm
0.232 0.232 0.305 Pr
0.768 0.768 0.695 Pr
0.500 0.500 0.500 Ge
```

=====

Going by the energies, b is most stable and the next is 12.2 kJ/mol of atoms up.

=====

## a
Compound: PmPr2Ge
Source: Alexandria via LeMat-Bulk
Functional: PBE-GGA
Structure: optimized geometry

```
PmPr2Ge
1.0
4.196 -0.001 0.000
-2.100 6.234 0.000
0.000 0.000 9.529
Pr Ge Pm
4 2 2
direct
0.356 0.711 0.944 Pr
0.644 0.289 0.444 Pr
0.356 0.711 0.556 Pr
0.644 0.289 0.056 Pr
0.256 0.512 0.250 Ge
0.744 0.488 0.750 Ge
0.931 0.861 0.250 Pm
0.069 0.139 0.750 Pm
```

=====

## b
Compound: PmPr2Ge
Source: Alexandria via LeMat-Bulk
Functional: PBE-GGA
Structure: optimized geometry

```
PmPr2Ge
1.0
4.067 0.000 0.000
0.000 4.067 0.000
0.000 0.000 7.156
Pr Pm Ge
2 1 1
direct
0.000 0.000 0.790 Pr
0.000 0.000 0.210 Pr
0.500 0.500 0.500 Pm
0.500 0.500 0.000 Ge
```

=====

Going by the energies, a is most stable and the next is 12.4 kJ/mol of atoms up.